A plane-wave DFT calculation with PBE was carried out for a relaxed structure of Lu5Si.

a = 4.588 Å, b = 14.222 Å, c = 4.674 Å
α = 90.00°, β = 90.00°, γ = 90.00°
Space group Cmmm (No. 65)
One atom of each set of equivalent atoms:
Lu1 0.000 0.000 0.000 (multiplicity 2)
Lu2 0.000 0.157 0.500 (multiplicity 4)
Lu3 0.000 0.334 0.000 (multiplicity 4)
Si1 0.000 0.500 0.500 (multiplicity 2)

## Properties
Its energy is -4.808 eV per atom. For the uncorrected formation energy, the calculation gives -0.14 eV per atom. The calculation puts the density at 9.8 Mg/m³. For the density of states at the Fermi level, the calculation gives 1.118 states/eV per atom.